No. 1
## TmTl2WO6 (GGA+U)

Data for TmTl2WO6 after structural relaxation.

a b c (Å): 5.9119 5.9076 10.2291
angles (deg): 90.00 125.28 90.00
Space group P2_1/c (No. 14)
Inequivalent atoms, fractional coordinates:
Tm 0.0000 0.0000 0.0000 x2
Tl 0.2514 0.0037 0.7502 x4
W 0.5000 0.0000 0.5000 x2
O 0.2275 0.0017 0.2668 x4
O 0.2741 0.7206 0.0201 x4
O 0.3004 0.2472 0.5197 x4

- E (eV for the cell shown) = -131.033

No. 2
## TmTl3W2O9 (GGA+U)

Data for TmTl3W2O9 after structural relaxation.

a b c (Å): 5.8649 5.8649 7.2383
angles (deg): 90.00 90.00 120.00
Space group P-3m1 (No. 164)
Inequivalent atoms, fractional coordinates:
Tm 0.0000 0.0000 0.0000 x1
Tl 0.0000 0.0000 0.5000 x1
Tl 0.3333 0.6667 0.1673 x2
W 0.3333 0.6667 0.6652 x2
O 0.0000 0.5000 0.5000 x3
O 0.1781 0.3562 0.8120 x6

- E (eV for the cell shown) = -99.112

No. 3
## TmTlW2O8 (GGA+U)

Data for TmTlW2O8 after structural relaxation.

a b c (Å): 11.0361 10.5974 7.4605
angles (deg): 90.00 130.57 90.00
Space group C2/c (No. 15)
Inequivalent atoms, fractional coordinates:
Tm 0.0000 0.2228 0.2500 x4
Tl 0.0000 0.2103 0.7500 x4
W 0.1958 0.4955 0.2119 x8
O 0.0144 0.3886 0.4590 x8
O 0.1388 0.0975 0.1998 x8
O 0.1872 0.4348 0.9399 x8
O 0.2037 0.1505 0.6161 x8

- E (eV for the cell shown) = -352.568